[1]
{
  "formula": "Sm2Tc3Ru",
  "functional": "GGA-PBE",
  "state": "relaxed",
  "formation_enthalpy_0k_mev_per_atom": -89,
  "space_group": "No. 12",
  "cell": [[-2.0640, -2.7296, -3.9926], [4.6347, -1.4234, 2.0358], [-2.4128, -0.5491, 5.0698]],
  "species": ["Tc", "Sm", "Ru", "Sm", "Tc", "Tc"],
  "fractional_positions": [[0.0000, 0.0000, 0.5000], [0.2503, 0.6253, 0.8756], [0.0000, 0.0000, 0.0000], [0.7497, 0.3747, 0.1244], [0.5000, 0.5000, 0.5000], [0.5000, 0.0000, 0.5000]]
}

[2]
{
  "formula": "Ce6PuH3",
  "functional": "GGA-PBE",
  "state": "relaxed",
  "space_group": "No. 148",
  "final_energy_ev_per_atom": -6.224,
  "cell": [[-4.7994, -2.7858, -4.4919], [0.9252, -5.8421, -1.5038], [-2.1288, 1.4210, 5.5367]],
  "species": ["Ce", "H", "Ce", "H", "Ce", "Ce", "H", "Ce", "Ce", "Pu"],
  "fractional_positions": [[0.7536, 0.7626, 0.5986], [0.4771, 0.1750, 0.8264], [0.7531, 0.0823, 0.2366], [0.5000, 0.5000, 0.5000], [0.7532, 0.4007, 0.9170], [0.2469, 0.9177, 0.7633], [0.5229, 0.8250, 0.1736], [0.2468, 0.5993, 0.0830], [0.2464, 0.2374, 0.4014], [0.0000, 0.0000, 0.0000]]
}

[3]
{
  "formula": "Mg5TlRh6",
  "functional": "GGA-PBE",
  "state": "relaxed",
  "formation_enthalpy_0k_mev_per_atom": -405,
  "space_group": "No. 12",
  "cell": [[4.2722, 0.0150, -1.2528], [-0.8672, 5.5522, -2.8910], [-0.0781, 0.4112, 7.7195]],
  "species": ["Rh", "Rh", "Rh", "Rh", "Tl", "Mg", "Mg", "Mg", "Mg", "Rh", "Mg", "Rh"],
  "fractional_positions": [[0.8311, 0.0864, 0.6624], [0.1689, 0.4240, 0.3376], [0.1689, 0.9136, 0.3376], [0.8311, 0.5760, 0.6624], [0.0000, 0.0000, 0.0000], [0.3313, 0.3313, 0.6629], [0.6664, 0.1661, 0.3322], [0.6687, 0.6687, 0.3371], [0.3336, 0.8339, 0.6678], [0.5000, 0.7397, 0.0000], [0.0000, 0.5000, 0.0000], [0.5000, 0.2603, 0.0000]]
}

[4]
{
  "formula": "Cd2CuNi",
  "functional": "GGA-PBE",
  "state": "relaxed",
  "formation_enthalpy_0k_mev_per_atom": 66,
  "relative_energy_mev_per_atom": 4,
  "space_group": "No. 8",
  "cell": [[5.1644, 0.0146, -0.0084], [4.3408, 2.7979, -0.0084], [1.4416, 0.4266, 4.4494]],
  "species": ["Cd", "Ni", "Cd", "Cu"],
  "fractional_positions": [[0.7654, 0.7654, 0.7016], [0.2290, 0.2290, 0.2231], [0.9798, 0.9798, 0.0562], [0.5259, 0.5259, 0.5192]]
}

[5]
{
  "formula": "AsPdSeBr2",
  "functional": "GGA-PBE",
  "state": "relaxed",
  "relative_energy_mev_per_atom": 0,
  "space_group": "No. 123",
  "e_form_raw_mev_per_atom": 417,
  "cell": [[-3.0830, 3.5489, -1.7265], [-2.8327, -3.5154, -2.1677], [-2.7745, -0.3613, 4.2116]],
  "species": ["Pd", "Br", "As", "Br", "Se"],
  "fractional_positions": [[0.0000, 0.0000, 0.0000], [0.5000, 0.0000, 0.0000], [0.5000, 0.5000, 0.5000], [0.0000, 0.5000, 0.0000], [0.0000, 0.0000, 0.5000]]
}

[6]
{
  "formula": "NaTcO3",
  "functional": "GGA-PBE",
  "state": "relaxed",
  "space_group": "No. 12",
  "e_form_raw_mev_per_atom": -1508,
  "cell": [[5.0572, 0.0008, 0.0254], [2.5282, 4.5354, 0.0187], [-1.1260, -0.0078, 5.5262]],
  "species": ["O", "O", "Na", "Na", "O", "O", "O", "Tc", "Tc", "O"],
  "fractional_positions": [[0.8010, 0.7854, 0.0004], [0.1909, 0.0056, 0.0004], [0.0842, 0.7057, 0.6930], [0.3944, 0.0852, 0.6930], [0.5493, 0.3955, 0.9567], [0.6776, 0.0056, 0.3856], [0.2877, 0.7854, 0.3856], [0.8807, 0.1126, 0.1930], [0.5979, 0.6784, 0.1930], [0.9293, 0.3955, 0.4292]]
}

[7]
{
  "formula": "Ti4Zn2Pd3",
  "functional": "GGA-PBE",
  "state": "relaxed",
  "formation_enthalpy_0k_mev_per_atom": -382,
  "space_group": "No. 12",
  "cell": [[-3.8272, 0.3105, 2.3587], [-1.7178, -3.6522, 1.9984], [4.2361, 1.6587, 6.6550]],
  "species": ["Ti", "Pd", "Zn", "Ti", "Zn", "Ti", "Pd", "Pd", "Ti"],
  "fractional_positions": [[0.6667, 0.6665, 0.9017], [0.3333, 0.3335, 0.4177], [0.3336, 0.3328, 0.7516], [0.3333, 0.3335, 0.0983], [0.6664, 0.6672, 0.2484], [0.0002, 0.9996, 0.6652], [0.0000, 0.0000, 0.0000], [0.6667, 0.6665, 0.5823], [0.9998, 0.0004, 0.3348]]
}

[8]
{
  "formula": "Ba3Ga9Cu2",
  "functional": "GGA-PBE",
  "state": "relaxed",
  "formation_enthalpy_0k_mev_per_atom": -314,
  "space_group": "No. 71",
  "cell": [[4.3646, 0.0000, 0.0000], [2.1823, 8.6188, -0.6103], [2.1823, 1.3592, 8.5328]],
  "species": ["Ba", "Cu", "Ba", "Ga", "Ga", "Ga", "Ga", "Ga", "Ba", "Ga", "Ga", "Ga", "Cu", "Ga"],
  "fractional_positions": [[0.0000, 0.0000, 0.0000], [0.5000, 0.2885, 0.7115], [0.7022, 0.2978, 0.2978], [0.3275, 0.3500, 0.9949], [0.8869, 0.4083, 0.8179], [0.1131, 0.5917, 0.1821], [0.0000, 0.5000, 0.5000], [0.1131, 0.1821, 0.5917], [0.2978, 0.7022, 0.7022], [0.6725, 0.6500, 0.0051], [0.3275, 0.9949, 0.3500], [0.6725, 0.0051, 0.6500], [0.5000, 0.7115, 0.2885], [0.8869, 0.8179, 0.4083]]
}

[9]
{
  "formula": "CuI3Cl",
  "functional": "GGA-PBE",
  "state": "relaxed",
  "relative_energy_mev_per_atom": 361,
  "space_group": "No. 221",
  "e_form_raw_mev_per_atom": 253,
  "cell": [[-3.0336, 4.2773, 1.0710], [-1.1670, -2.0325, 4.8117], [4.2522, 2.4938, 2.0847]],
  "species": ["I", "I", "Cl", "I", "Cu"],
  "fractional_positions": [[0.0000, 0.0000, 0.5000], [0.0000, 0.5000, 0.0000], [0.5000, 0.5000, 0.5000], [0.5000, 0.0000, 0.0000], [0.0000, 0.0000, 0.0000]]
}

[10]
{
  "formula": "CeNpZnRu",
  "functional": "GGA-PBE",
  "state": "relaxed",
  "formation_enthalpy_0k_mev_per_atom": -100,
  "space_group": "No. 216",
  "cell": [[-1.8426, -0.6075, 4.3119], [0.4891, -4.1475, 2.2171], [2.8462, -0.3499, 3.7594]],
  "species": ["Zn", "Np", "Ce", "Ru"],
  "fractional_positions": [[0.0000, 0.0000, 0.0000], [0.5000, 0.5000, 0.5000], [0.7500, 0.7500, 0.7500], [0.2500, 0.2500, 0.2500]]
}

[11]
{
  "formula": "SrReN3",
  "functional": "GGA-PBE",
  "state": "relaxed",
  "space_group": "No. 1",
  "e_form_raw_mev_per_atom": -322,
  "cell": [[4.7836, 0.0071, 0.0078], [-1.0164, 7.6765, -0.0080], [-1.5823, -2.1142, 4.6378]],
  "species": ["Re", "N", "Re", "N", "N", "Sr", "N", "N", "N", "Sr"],
  "fractional_positions": [[0.1519, 0.0851, 0.0061], [0.4803, 0.4890, 0.8742], [0.4880, 0.2475, 0.7924], [0.8679, 0.2278, 0.9882], [0.3849, 0.6047, 0.3866], [0.8955, 0.4699, 0.5480], [0.1937, 0.6747, 0.3165], [0.3642, 0.1128, 0.3849], [0.9938, 0.8365, 0.7812], [0.7452, 0.8508, 0.2497]]
}

[12]
{
  "formula": "Pm7HoIn4",
  "functional": "GGA-PBE",
  "state": "relaxed",
  "formation_enthalpy_0k_mev_per_atom": -132,
  "space_group": "No. 12",
  "cell": [[-5.7666, 0.4507, -0.3775], [-3.3673, -8.3141, -2.9907], [-3.5715, -3.1298, 6.3182]],
  "species": ["In", "Pm", "In", "Pm", "In", "Pm", "Pm", "Ho", "Pm", "Pm", "In", "Pm"],
  "fractional_positions": [[0.6810, 0.6664, 0.9715], [0.2781, 0.6623, 0.7815], [0.5573, 0.2477, 0.6377], [0.0630, 0.6073, 0.2667], [0.4427, 0.7523, 0.3623], [0.9370, 0.3927, 0.7333], [0.2058, 0.1193, 0.4690], [0.0000, 0.0000, 0.0000], [0.7942, 0.8807, 0.5310], [0.5000, 0.0000, 0.0000], [0.3190, 0.3336, 0.0285], [0.7219, 0.3377, 0.2185]]
}

Total moment for every record listed, in sequence, given in μB per formula unit: 0.00, 1.39, 0.00, 0.00, 0.25, 0.00, 1.56, 0.00, 0.00, 3.78, 0.31, 0.00.